The following is a DFT calculation (GGA-PBE) of MgTaGaRh after structural relaxation.

As for the formation energy: -0.29 eV per atom. Its crystal system is cubic. For the uncorrected energy, the calculation gives -6.2424 eV/atom. Its volume is 259.82 Å³ per cell.

It has space group F-43m (No. 216), with a = 6.3810 Å, b = 6.3810 Å, c = 6.3810 Å, α = 90.00°, β = 90.00° and γ = 90.00°. The inequivalent atoms are Mg at (0.0000, 0.0000, 0.0000), Ta at (0.0000, 0.0000, 0.5000), Ga at (0.2500, 0.2500, 0.7500) and Rh at (0.2500, 0.2500, 0.2500).

The following is a DFT calculation (GGA-PBE) of NdGaCl4 after structural relaxation.

For the energy relative to the elements, uncorrected, the calculation gives -1.73 eV/atom. Its crystal system is monoclinic. For the uncorrected energy, the calculation gives -4.2601 eV/atom. Its volume is 828.24 Å³ per cell.

It has space group P2_1/c (No. 14), with a = 10.9025 Å, b = 7.4246 Å, c = 10.4049 Å, α = 90.00°, β = 100.46° and γ = 90.00°. The inequivalent atoms are Nd at (0.1750, 0.2258, 0.2941), Ga at (0.4241, 0.7406, 0.5979), Cl at (0.0268, 0.5571, 0.6843), Cl at (0.1720, 0.1224, 0.5497), Cl at (0.3573, 0.0311, 0.8821) and Cl at (0.3729, 0.5018, 0.7987).

The following is a DFT calculation (GGA-PBE) of LiMgHg after structural relaxation.

As for the formation energy: -0.11 eV per atom. As for the polymorph energy (0 for the lowest one): 162 meV/atom. Its crystal system is orthorhombic. For the uncorrected energy, the calculation gives -1.3838 eV/atom. Its volume is 70.19 Å³ per cell.

It has space group Pmmm (No. 47), with a = 3.2830 Å, b = 4.4348 Å, c = 4.8206 Å, α = 90.00°, β = 90.00° and γ = 90.00°. The inequivalent atoms are Li at (0.0000, 0.0000, 0.0000), Mg at (0.0000, 0.5000, 0.5000) and Hg at (0.5000, 0.5000, 0.0000).

The following is a DFT calculation (GGA-PBE) of Na2FeHg after structural relaxation.

As for the formation energy: 0.56 eV per atom. Its crystal system is tetragonal. For the uncorrected energy, the calculation gives -2.2901 eV/atom. Its volume is 380.71 Å³ per cell.

It has space group I-42d (No. 122), with a = 8.3112 Å, b = 8.3112 Å, c = 5.5115 Å, α = 90.00°, β = 90.00° and γ = 90.00°. The inequivalent atoms are Na at (0.2460, 0.2500, 0.1250), Fe at (0.0000, 0.0000, 0.0000) and Hg at (0.0000, 0.0000, 0.5000).

Question: Which of these has the highest uncorrected energy?
Answer: LiMgHg